1.
First-principles (GGA-PBE) data for a relaxed MnAl2InTe6 crystal, as listed in the Alexandria database.

a = 7.272 Å, b = 9.408 Å, c = 9.408 Å
α = 85.36°, β = 80.41°, γ = 80.41°
Each line ends with the local moment (μB).
Atoms (fractional coordinates):
Te  0.120  0.636  0.091  -0.04
Te  0.115  0.967  0.815  -0.04
Te  0.394  0.549  0.710  -0.01
Te  0.385  0.185  0.033  -0.04
Te  0.620  0.091  0.636  -0.04
Te  0.894  0.710  0.549  -0.01
Te  0.606  0.451  0.290  -0.01
Te  0.885  0.033  0.185  -0.04
Te  0.615  0.815  0.967  -0.04
Te  0.380  0.909  0.364  -0.04
Te  0.106  0.290  0.451  -0.01
Te  0.880  0.364  0.909  -0.04
In  0.750  0.741  0.259  0.02
In  0.250  0.259  0.741  0.02
Mn  0.750  0.097  0.903  3.86
Mn  0.250  0.903  0.097  3.86
Al  0.708  0.600  0.783  0.01
Al  0.208  0.783  0.600  0.01
Al  0.792  0.217  0.400  0.01
Al  0.292  0.400  0.217  0.01

Properties
space group: C2/c (15)
volume: 624.9 Å³/cell
energy relative to the elements, uncorrected: -2.451 eV per formula unit

2.
First-principles (GGA-PBE) data for a relaxed Ac6La2Zn crystal, as listed in the Alexandria database.

a = 4.018 Å, b = 10.206 Å, c = 10.197 Å
α = 120.03°, β = 90.00°, γ = 90.00°
Atoms (fractional coordinates):
Zn  0.500  0.000  0.000
Ac  0.500  0.611  0.000
Ac  0.000  0.000  0.253
Ac  0.000  0.254  0.000
Ac  0.000  0.747  0.747
Ac  0.500  0.000  0.612
Ac  0.500  0.388  0.388
La  0.000  0.667  0.334
La  0.000  0.333  0.666

Properties
ΔH_f (0 K): -0.03 eV/atom
space group: Amm2 (38)
volume: 362.1 Å³/cell

3.
First-principles (GGA-PBE) data for a relaxed MgPbBr2 crystal, as listed in the Alexandria database.

a = 3.948 Å, b = 5.572 Å, c = 5.568 Å
α = 75.39°, β = 90.00°, γ = 90.00°
Atoms (fractional coordinates):
Br  0.000  0.036  0.037
Br  0.000  0.464  0.463
Pb  0.500  0.750  0.750
Mg  0.500  0.250  0.250

Properties
space group: Cmmm (65)
volume: 118.5 Å³/cell
offset from the most stable computed form: 336.8 meV/atom
energy relative to the elements, uncorrected: -2.310 eV per formula unit

4.
First-principles (GGA-PBE) data for a relaxed Ca2PdRu crystal, as listed in the Alexandria database.

a = 7.681 Å, b = 7.681 Å, c = 6.215 Å
α = 51.83°, β = 51.83°, γ = 90.00°
Each line ends with the local moment (μB).
Atoms (fractional coordinates):
Ca  0.121  0.625  0.250  -0.02
Ca  0.875  0.879  0.750  -0.02
Ca  0.375  0.371  0.750  -0.02
Ca  0.629  0.125  0.250  -0.02
Ru  0.500  0.500  0.000  0.90
Ru  0.250  0.750  0.500  0.88
Pd  0.750  0.250  0.500  0.05
Pd  0.000  0.000  0.000  0.06

Properties
ΔH_f (0 K): 0.27 eV/atom
space group: I-42d (122)
volume: 178.2 Å³/cell

5.
First-principles (GGA-PBE) data for a relaxed BaZrNi2 crystal, as listed in the Alexandria database.

a = 5.058 Å, b = 5.058 Å, c = 5.058 Å
α = 127.45°, β = 112.61°, γ = 90.43°
Atoms (fractional coordinates):
Ba  0.250  0.750  0.500
Zr  0.750  0.250  0.500
Ni  0.553  0.553  0.000
Ni  0.947  0.947  0.000

Properties
ΔH_f (0 K): 0.34 eV/atom
space group: Immm (71)
volume: 89.6 Å³/cell
offset from the most stable computed form: 427.8 meV/atom

6.
First-principles (GGA-PBE) data for a relaxed Pm3Tm6Th crystal, as listed in the Alexandria database.

a = 9.007 Å, b = 8.935 Å, c = 8.935 Å
α = 116.72°, β = 90.00°, γ = 90.00°
Atoms (fractional coordinates):
Tm  0.790  0.056  0.944
Tm  0.270  0.532  0.831
Tm  0.100  0.297  0.174
Tm  0.600  0.174  0.297
Tm  0.770  0.468  0.169
Tm  0.159  0.713  0.287
Tm  0.270  0.169  0.468
Tm  0.600  0.703  0.826
Tm  0.290  0.944  0.056
Tm  0.659  0.287  0.713
Tm  0.100  0.826  0.703
Tm  0.770  0.831  0.532
Th  0.519  0.775  0.225
Th  0.019  0.225  0.775
Pm  0.430  0.319  0.026
Pm  0.930  0.026  0.319
Pm  0.917  0.453  0.547
Pm  0.417  0.547  0.453
Pm  0.430  0.974  0.681
Pm  0.930  0.681  0.974

Properties
ΔH_f (0 K): 0.16 eV/atom
space group: Cmc2_1 (36)
volume: 642.3 Å³/cell
offset from the most stable computed form: 0.0 meV/atom

7.
First-principles (GGA-PBE) data for a relaxed KSr8Rh2 crystal, as listed in the Alexandria database.

a = 7.132 Å, b = 7.751 Å, c = 9.917 Å
α = 113.00°, β = 82.22°, γ = 90.00°
Atoms (fractional coordinates):
K  0.000  0.000  0.000
Rh  0.318  0.726  0.453
Rh  0.682  0.274  0.547
Sr  0.393  0.602  0.703
Sr  0.393  0.101  0.703
Sr  0.184  0.579  0.159
Sr  0.092  0.213  0.425
Sr  0.908  0.787  0.575
Sr  0.607  0.398  0.297
Sr  0.816  0.421  0.841
Sr  0.607  0.899  0.297

Properties
ΔH_f (0 K): -0.09 eV/atom
space group: C2/m (12)
volume: 499.2 Å³/cell

8.
First-principles (GGA-PBE) data for a relaxed BaAs3W crystal, as listed in the Alexandria database.

a = 5.016 Å, b = 5.016 Å, c = 5.016 Å
α = 90.00°, β = 90.00°, γ = 90.00°
Atoms (fractional coordinates):
W  0.000  0.000  0.000
As  0.000  0.500  0.000
As  0.000  0.000  0.500
As  0.500  0.000  0.000
Ba  0.500  0.500  0.500

Properties
ΔH_f (0 K): -0.25 eV/atom
space group: Pm-3m (221)
volume: 126.2 Å³/cell
offset from the most stable computed form: 0.0 meV/atom

9.
First-principles (GGA-PBE) data for a relaxed Mo5W3 crystal, as listed in the Alexandria database.

a = 5.489 Å, b = 5.489 Å, c = 4.488 Å
α = 90.00°, β = 90.00°, γ = 70.72°
Atoms (fractional coordinates):
Mo  0.000  0.000  0.000
Mo  0.250  0.750  0.500
Mo  0.500  0.000  0.000
Mo  0.750  0.250  0.500
Mo  0.000  0.500  0.000
W  0.500  0.500  0.000
W  0.251  0.251  0.500
W  0.749  0.749  0.500

Properties
ΔH_f (0 K): -0.01 eV/atom
space group: Cmmm (65)
volume: 127.7 Å³/cell
offset from the most stable computed form: 0.1 meV/atom

10.
First-principles (GGA-PBE) data for a relaxed LiY2Ag crystal, as listed in the Alexandria database.

a = 3.465 Å, b = 3.465 Å, c = 10.473 Å
α = 80.48°, β = 80.48°, γ = 60.00°
Atoms (fractional coordinates):
Ag  0.667  0.667  0.000
Li  0.500  0.500  0.501
Y  0.078  0.078  0.766
Y  0.256  0.256  0.233

Properties
ΔH_f (0 K): 0.08 eV/atom
space group: R3m (160)
volume: 106.9 Å³/cell
offset from the most stable computed form: 207.8 meV/atom

11.
First-principles (GGA-PBE) data for a relaxed U2SbMo crystal, as listed in the Alexandria database.

a = 3.108 Å, b = 3.108 Å, c = 10.980 Å
α = 81.86°, β = 81.86°, γ = 60.00°
Each line ends with the local moment (μB).
Atoms (fractional coordinates):
U  0.097  0.097  0.709  1.33
U  0.903  0.903  0.291  1.33
Sb  0.000  0.000  0.000  -0.01
Mo  0.500  0.500  0.500  -0.16

Properties
space group: R-3m (166)
volume: 90.6 Å³/cell
offset from the most stable computed form: 445.5 meV/atom
energy relative to the elements, uncorrected: 1.856 eV per formula unit

12.
First-principles (GGA-PBE) data for a relaxed CoAgTe crystal, as listed in the Alexandria database.

a = 4.471 Å, b = 4.471 Å, c = 4.471 Å
α = 60.00°, β = 60.00°, γ = 60.00°
Each line ends with the local moment (μB).
Atoms (fractional coordinates):
Co  0.500  0.500  0.500  1.63
Ag  0.000  0.000  0.000  0.03
Te  0.750  0.750  0.750  0.07

Properties
space group: F-43m (216)
volume: 63.2 Å³/cell
offset from the most stable computed form: 328.1 meV/atom
energy relative to the elements, uncorrected: 1.250 eV per formula unit

Number 1: total magnetic moment 4.03 μB/f.u.. Number 2: total magnetic moment 0.00 μB/f.u.. Number 3: total magnetic moment 0.00 μB/f.u.. Number 4: total magnetic moment 0.86 μB/f.u.. Number 5: total magnetic moment 0.00 μB/f.u.. Number 6: total magnetic moment 0.00 μB/f.u.. Number 7: total magnetic moment 0.00 μB/f.u.. Number 8: total magnetic moment 0.00 μB/f.u.. Number 9: total magnetic moment 0.00 μB/f.u.. Number 10: total magnetic moment 0.00 μB/f.u.. Number 11: total magnetic moment 2.72 μB/f.u.. Number 12: total magnetic moment 1.76 μB/f.u..